Entry 1:
Entry from the Alexandria database: a relaxed structure of Nd5TmPb5 (PBE).

The structure in POSCAR format:
```
Nd5TmPb5
1.0
-5.2796 -3.1149 1.1624
3.9666 2.3905 7.6776
-3.9286 5.9268 -1.9617
Pb Tm Nd
5 1 5
direct
0.8378 0.6757 0.6346 Pb
0.8356 0.6712 0.1069 Pb
0.5000 0.0000 0.0000 Pb
0.1644 0.3288 0.8931 Pb
0.1621 0.3243 0.3654 Pb
0.0000 0.0000 0.0000 Tm
0.6579 0.3157 0.7853 Nd
0.0000 0.0000 0.5000 Nd
0.3421 0.6843 0.2147 Nd
0.6763 0.3526 0.2916 Nd
0.3237 0.6474 0.7084 Nd
```

Computed properties:
Energy of formation (kJ/mol of atoms): -31
SG: C2/m (12)
Total DFT energy (no corrections) (eV per cell): -50.4

---

Entry 2:
Entry from the Alexandria database: a relaxed structure of AcGdAlCu (PBE).

The structure in POSCAR format:
```
AcGdAlCu
1.0
5.3104 0.0000 0.0000
2.6552 4.5989 0.0000
2.6552 1.5330 4.3359
Ac Al Cu Gd
1 1 1 1
direct
0.5000 0.5000 0.5000 Ac
0.7500 0.7500 0.7500 Al
0.2500 0.2500 0.2500 Cu
0.0000 0.0000 0.0000 Gd
```

Computed properties:
Energy of formation (kJ/mol of atoms): -16
SG: F-43m (216)
Total DFT energy (no corrections) (eV per cell): -26.7

---

Entry 3:
Entry from the Alexandria database: a relaxed structure of Sr2AlGe3 (PBE).

The structure in POSCAR format:
```
Sr2AlGe3
1.0
-4.0178 1.9502 0.3894
-2.6734 -6.0753 2.8417
4.7230 6.1974 17.6924
Sr Ge Al
8 12 4
direct
0.7500 0.8319 0.0783 Sr
0.7500 0.2912 0.1976 Sr
0.2500 0.6681 0.5783 Sr
0.2500 0.7088 0.8024 Sr
0.7500 0.7912 0.3024 Sr
0.7500 0.3319 0.4217 Sr
0.2500 0.2088 0.6976 Sr
0.2500 0.1681 0.9217 Sr
0.7500 0.5355 0.6921 Ge
0.2500 0.9645 0.1921 Ge
0.7500 0.0355 0.8079 Ge
0.2500 0.1153 0.3111 Ge
0.2500 0.7131 0.9651 Ge
0.7500 0.3847 0.8111 Ge
0.7500 0.7869 0.4651 Ge
0.2500 0.4645 0.3079 Ge
0.2500 0.2131 0.5349 Ge
0.2500 0.6153 0.1889 Ge
0.7500 0.8847 0.6889 Ge
0.7500 0.2869 0.0349 Ge
0.2500 0.9640 0.4371 Al
0.7500 0.0360 0.5629 Al
0.2500 0.4640 0.0629 Al
0.7500 0.5360 0.9371 Al
```

Computed properties:
Energy of formation (kJ/mol of atoms): -48
Energy relative to the lowest polymorph listed for this composition (meV per atom): 0
SG: Pnma (62)
Total DFT energy (no corrections) (eV per cell): -95.8

---

Entry 4:
Entry from the Alexandria database: a relaxed structure of K2NaTeAu (PBE).

The structure in POSCAR format:
```
K2NaTeAu
1.0
-1.2360 -3.2033 5.6566
-2.2058 -4.3873 -2.9665
5.9821 -2.8139 -0.2864
Au K Te Na
1 2 1 1
direct
0.5000 0.5000 0.5000 Au
0.5000 0.0000 0.0000 K
0.0000 0.0000 0.5000 K
0.0000 0.0000 0.0000 Te
0.0000 0.5000 0.0000 Na
```

Computed properties:
SG: P4/mmm (123)
Formation energy without anion corrections (meV/atom): -503
Total DFT energy (no corrections) (eV per cell): -12.4

---

Entry 5:
Entry from the Alexandria database: a relaxed structure of Rb2VRuCl6 (PBE).

The structure in POSCAR format:
```
Rb2VRuCl6
1.0
7.2330 0.0000 0.0000
0.0000 7.2330 0.0000
3.6165 3.6165 4.5469
Ru Cl Rb V
1 6 2 1
direct
0.0000 0.0000 0.0000 Ru
0.2515 0.2515 0.4971 Cl
0.7510 0.7510 0.0000 Cl
0.7485 0.7485 0.5029 Cl
0.2490 0.2490 0.0000 Cl
0.7510 0.2490 0.0000 Cl
0.2490 0.7510 0.0000 Cl
0.2500 0.7500 0.5000 Rb
0.7500 0.2500 0.5000 Rb
0.5000 0.5000 0.0000 V
```

Computed properties:
SG: I4/mmm (139)
Formation energy without anion corrections (meV/atom): -1073
Total DFT energy (no corrections) (eV per cell): -42.1

---

Entry 6:
Entry from the Alexandria database: a relaxed structure of PuCo2H6 (PBE).

The structure in POSCAR format:
```
PuCo2H6
1.0
4.1376 0.0000 0.0000
0.0000 3.7631 -2.1726
0.0000 0.0000 4.3453
H Co Pu
6 2 1
direct
0.2419 0.5000 0.5000 H
0.7581 0.5000 0.5000 H
0.2419 0.5000 0.0000 H
0.7581 0.5000 0.0000 H
0.2419 0.0000 0.5000 H
0.7581 0.0000 0.5000 H
0.5000 0.3333 0.6667 Co
0.5000 0.6667 0.3333 Co
0.0000 0.0000 0.0000 Pu
```

Computed properties:
SG: P6/mmm (191)
Total DFT energy (no corrections) (eV per cell): -50.7